(1)
Density functional theory data (PBE) for an optimized crystal structure of Cs2CrSbCl6.

a = 7.692 Å, b = 7.692 Å, c = 7.692 Å
α = 122.07°, β = 122.07°, γ = 86.45°
Fractional positions:
Cs 0.250 0.750 0.500
Cs 0.750 0.250 0.500
Cr 0.000 0.000 0.000
Sb 0.500 0.500 0.000
Cl 0.214 0.214 0.000
Cl 0.243 0.243 0.486
Cl 0.243 0.757 0.000
Cl 0.757 0.243 0.000
Cl 0.757 0.757 0.514
Cl 0.786 0.786 0.000

Calculated values
magnetic moment: 5.00 μB per cell
energy relative to the elements, uncorrected: -1.26 eV/atom
N(E_F): 1.14 states/eV per cell


(2)
Density functional theory data (PBE) for an optimized crystal structure of KTaI6.

a = 7.388 Å, b = 7.388 Å, c = 8.847 Å
α = 109.12°, β = 109.12°, γ = 97.65°
Fractional positions:
K 0.000 0.000 0.000
Ta 0.000 0.000 0.500
I 0.048 0.692 0.246
I 0.272 0.272 0.475
I 0.308 0.952 0.754
I 0.692 0.048 0.246
I 0.728 0.728 0.525
I 0.952 0.308 0.754

Calculated values
magnetic moment: 0.00 μB per cell
energy relative to the elements, uncorrected: -0.67 eV/atom
relative energy among the computed polymorphs: 0.000 eV per formula unit